(1)
VASP calculation (GGA-PBE) on a relaxed structure of Fe2BTeRu.

Unit cell a=4.5240 b=4.0012 c=4.5240 alpha=90.00 beta=90.00 gamma=90.00
Closest atoms and distances in Å follow each position.
Positions (direct):
Fe (0.5000, 0.0000, 0.0000)  2 Ru 2.26
Fe (0.0000, 0.0000, 0.5000)  2 Ru 2.26
B (0.0000, 0.5000, 0.0000)  2 Ru 2.00
Ru (0.0000, 0.0000, 0.0000)  2 B 2.00
Te (0.5000, 0.5000, 0.5000)  8 Fe 3.02, 4 B 3.20

calculated volume: 16.4 A^3/atom
formation energy from raw total energies: 1.3049 eV/atom
raw total energy: -29.50 eV for the cell shown

---

(2)
VASP calculation (GGA-PBE) on a relaxed structure of TiFeBRu2.

Unit cell a=4.0634 b=4.0634 c=3.8290 alpha=90.00 beta=90.00 gamma=90.00
Closest atoms and distances in Å follow each position.
Positions (direct):
B (0.0000, 0.0000, 0.0000)  2 Fe 1.91, 4 Ru 2.03
Fe (0.0000, 0.0000, 0.5000)  2 B 1.91
Ti (0.5000, 0.5000, 0.5000)  8 Ru 2.79, 4 Fe 2.87
Ru (0.0000, 0.5000, 0.0000)  2 B 2.03
Ru (0.5000, 0.0000, 0.0000)  2 B 2.03

calculated volume: 12.6 A^3/atom
raw total energy: -42.99 eV for the cell shown

---

(3)
VASP calculation (GGA-PBE) on a relaxed structure of TiFeB2Ru.

Unit cell a=4.0032 b=4.7084 c=4.0032 alpha=90.00 beta=90.00 gamma=90.00
Closest atoms and distances in Å follow each position.
Positions (direct):
Ti (0.0000, 0.5000, 0.0000)  2 Ru 2.35
Fe (0.5000, 0.5000, 0.5000)  4 Ti 2.83, 8 B 3.09
Ru (0.0000, 0.0000, 0.0000)  4 B 2.00
B (0.0000, 0.0000, 0.5000)  2 Ru 2.00
B (0.5000, 0.0000, 0.0000)  2 Ru 2.00

calculated volume: 15.1 A^3/atom
raw total energy: -34.08 eV for the cell shown

---

(4)
VASP calculation (GGA-PBE) on a relaxed structure of Tm2FeB2Ru5.

Unit cell a=3.0756 b=9.4790 c=9.4790 alpha=90.00 beta=90.00 gamma=90.00
Closest atoms and distances in Å follow each position.
Positions (direct):
B (0.0000, 0.6232, 0.8768)  6 Ru 2.24-2.26
B (0.0000, 0.8768, 0.3768)  6 Ru 2.24-2.26
B (0.0000, 0.1232, 0.6232)  6 Ru 2.24-2.26
B (0.0000, 0.3768, 0.1232)  6 Ru 2.24-2.26
Ru (0.5000, 0.4303, 0.2864)  2 B 2.24
Ru (0.5000, 0.2136, 0.0697)  2 B 2.24
Ru (0.5000, 0.9303, 0.2136)  2 B 2.24
Ru (0.5000, 0.2864, 0.5697)  2 B 2.24
Ru (0.5000, 0.5697, 0.7136)  2 B 2.24
Ru (0.5000, 0.5000, 0.0000)  4 B 2.26
Ru (0.5000, 0.7136, 0.4303)  2 B 2.24
Ru (0.5000, 0.7864, 0.9303)  2 B 2.24
Ru (0.5000, 0.0000, 0.5000)  4 B 2.26
Ru (0.5000, 0.0697, 0.7864)  2 B 2.24
Tm (0.0000, 0.3244, 0.8244)  3 B 2.70-2.88, 10 Ru 2.81-2.98
Tm (0.0000, 0.1756, 0.3244)  3 B 2.70-2.88, 10 Ru 2.81-2.98
Tm (0.0000, 0.6756, 0.1756)  3 B 2.70-2.88, 10 Ru 2.81-2.98
Tm (0.0000, 0.8244, 0.6756)  3 B 2.70-2.88, 10 Ru 2.81-2.98
Fe (0.0000, 0.0000, 0.0000)  8 Ru 2.63
Fe (0.0000, 0.5000, 0.5000)  8 Ru 2.63

calculated volume: 13.8 A^3/atom
raw total energy: -162.35 eV for the cell shown

---

(5)
VASP calculation (GGA-PBE) on a relaxed structure of Y2FeB2Ru5.

Unit cell a=3.0929 b=9.5527 c=9.5527 alpha=90.00 beta=90.00 gamma=90.00
Closest atoms and distances in Å follow each position.
Positions (direct):
B (0.0000, 0.6228, 0.8772)  6 Ru 2.25-2.27
B (0.0000, 0.1228, 0.6228)  6 Ru 2.25-2.27
B (0.0000, 0.3772, 0.1228)  6 Ru 2.25-2.27
B (0.0000, 0.8772, 0.3772)  6 Ru 2.25-2.27
Y (0.0000, 0.8242, 0.6758)  3 B 2.72-2.90, 10 Ru 2.83-3.00
Y (0.0000, 0.1758, 0.3242)  3 B 2.72-2.90, 10 Ru 2.83-3.00
Y (0.0000, 0.6758, 0.1758)  3 B 2.72-2.90, 10 Ru 2.83-3.00
Y (0.0000, 0.3242, 0.8242)  3 B 2.72-2.90, 10 Ru 2.83-3.00
Fe (0.0000, 0.5000, 0.5000)  8 Ru 2.65
Fe (0.0000, 0.0000, 0.0000)  8 Ru 2.65
Ru (0.5000, 0.4306, 0.2856)  2 B 2.25
Ru (0.5000, 0.7144, 0.4306)  2 B 2.25
Ru (0.5000, 0.7856, 0.9306)  2 B 2.25
Ru (0.5000, 0.0000, 0.5000)  4 B 2.27
Ru (0.5000, 0.0694, 0.7856)  2 B 2.25
Ru (0.5000, 0.2856, 0.5694)  2 B 2.25
Ru (0.5000, 0.9306, 0.2144)  2 B 2.25
Ru (0.5000, 0.5694, 0.7144)  2 B 2.25
Ru (0.5000, 0.2144, 0.0694)  2 B 2.25
Ru (0.5000, 0.5000, 0.0000)  4 B 2.27

calculated volume: 14.1 A^3/atom
raw total energy: -168.77 eV for the cell shown

---

(6)
VASP calculation (GGA-PBE) on a relaxed structure of YFeBRu2.

Unit cell a=4.2464 b=4.2464 c=3.9921 alpha=90.00 beta=90.00 gamma=90.00
Closest atoms and distances in Å follow each position.
Positions (direct):
Fe (0.0000, 0.0000, 0.5000)  2 B 2.00
Ru (0.5000, 0.0000, 0.0000)  2 B 2.12
Ru (0.0000, 0.5000, 0.0000)  2 B 2.12
Y (0.5000, 0.5000, 0.5000)  8 Ru 2.91, 4 Fe 3.00
B (0.0000, 0.0000, 0.0000)  2 Fe 2.00, 4 Ru 2.12

calculated volume: 14.4 A^3/atom
raw total energy: -41.28 eV for the cell shown

---

(7)
VASP calculation (GGA-PBE) on a relaxed structure of ZrFe2BRu.

Unit cell a=3.9243 b=3.9243 c=4.1050 alpha=90.00 beta=90.00 gamma=90.00
Closest atoms and distances in Å follow each position.
Positions (direct):
Fe (0.5000, 0.0000, 0.0000)  2 B 1.96
Fe (0.0000, 0.5000, 0.0000)  2 B 1.96
Zr (0.5000, 0.5000, 0.5000)  4 Ru 2.77, 8 Fe 2.84
B (0.0000, 0.0000, 0.0000)  4 Fe 1.96, 2 Ru 2.05
Ru (0.0000, 0.0000, 0.5000)  2 B 2.05

calculated volume: 12.6 A^3/atom
raw total energy: -42.86 eV for the cell shown

---

(8)
VASP calculation (GGA-PBE) on a relaxed structure of Zr2FeB2Ru5.

Unit cell a=9.3559 b=9.3559 c=3.0755 alpha=90.00 beta=90.00 gamma=90.00
Closest atoms and distances in Å follow each position.
Positions (direct):
B (0.8761, 0.3761, 0.0000)  6 Ru 2.22-2.25
B (0.1239, 0.6239, 0.0000)  6 Ru 2.22-2.25
B (0.6239, 0.8761, 0.0000)  6 Ru 2.22-2.25
B (0.3761, 0.1239, 0.0000)  6 Ru 2.22-2.25
Ru (0.0703, 0.7864, 0.5000)  2 B 2.22
Ru (0.7136, 0.4297, 0.5000)  2 B 2.22
Ru (0.5000, 0.0000, 0.5000)  4 B 2.25
Ru (0.4297, 0.2864, 0.5000)  2 B 2.22
Ru (0.2136, 0.0703, 0.5000)  2 B 2.22
Ru (0.9297, 0.2136, 0.5000)  2 B 2.22
Ru (0.0000, 0.5000, 0.5000)  4 B 2.25
Ru (0.2864, 0.5703, 0.5000)  2 B 2.22
Ru (0.5703, 0.7136, 0.5000)  2 B 2.22
Ru (0.7864, 0.9297, 0.5000)  2 B 2.22
Zr (0.3239, 0.8239, 0.0000)  3 B 2.65-2.85, 10 Ru 2.79-2.96
Zr (0.8239, 0.6761, 0.0000)  3 B 2.65-2.85, 10 Ru 2.79-2.96
Zr (0.6761, 0.1761, 0.0000)  3 B 2.65-2.85, 10 Ru 2.79-2.96
Zr (0.1761, 0.3239, 0.0000)  3 B 2.65-2.85, 10 Ru 2.79-2.96
Fe (0.0000, 0.0000, 0.0000)  8 Ru 2.61
Fe (0.5000, 0.5000, 0.0000)  8 Ru 2.61

calculated volume: 13.5 A^3/atom
raw total energy: -180.59 eV for the cell shown

---

(9)
VASP calculation (GGA-PBE) on a relaxed structure of FeBS2.

Unit cell a=4.8479 b=4.8479 c=5.6234 alpha=64.47 beta=64.47 gamma=90.00
Closest atoms and distances in Å follow each position.
Positions (direct):
Fe (0.0000, 0.0000, 0.0000)  4 S 2.16
Fe (0.7500, 0.2500, 0.5000)  4 S 2.16
B (0.2500, 0.7500, 0.5000)  4 S 1.94
B (0.5000, 0.5000, 0.0000)  4 S 1.94
S (0.5873, 0.1250, 0.2500)  2 B 1.94, 2 Fe 2.16
S (0.3750, 0.4127, 0.7500)  2 B 1.94, 2 Fe 2.16
S (0.1627, 0.6250, 0.2500)  2 B 1.94, 2 Fe 2.16
S (0.8750, 0.8373, 0.7500)  2 B 1.94, 2 Fe 2.16

calculated volume: 13.1 A^3/atom
formation energy from raw total energies: -0.1216 eV/atom
raw total energy: -47.76 eV for the cell shown

---

(10)
VASP calculation (GGA-PBE) on a relaxed structure of Fe2BS.

Unit cell a=4.6832 b=2.8891 c=6.4479 alpha=90.00 beta=94.37 gamma=90.00
Closest atoms and distances in Å follow each position.
Positions (direct):
S (0.9808, 0.5000, 0.6496)  4 Fe 2.16-2.22
S (0.5050, 0.0000, 0.8651)  4 Fe 2.24-2.28, 1 B 2.28
Fe (0.7134, 0.0000, 0.4599)  2 B 2.19-2.36, 2 S 2.22
Fe (0.6846, 0.5000, 0.1158)  4 B 2.09-2.13, 2 S 2.28
Fe (0.1947, 0.5000, 0.3646)  4 B 2.03-2.05, 1 S 2.16
Fe (0.1792, 0.5000, 0.9686)  4 B 2.18-2.24, 3 S 2.19-2.24
B (0.3821, 0.0000, 0.2012)  1 B 1.77
B (0.0028, 0.0000, 0.1768)  1 B 1.77

calculated volume: 10.9 A^3/atom
formation energy from raw total energies: -0.1766 eV/atom
raw total energy: -56.87 eV for the cell shown
offset from the most stable computed form: 0.051 eV/atom

---

(11)
VASP calculation (GGA-PBE) on a relaxed structure of Fe2BS.

Unit cell a=4.8305 b=3.0286 c=11.8805 alpha=90.00 beta=98.62 gamma=90.00
Closest atoms and distances in Å follow each position.
Positions (direct):
Fe (0.6507, 0.5000, 0.2770)  1 B 2.03, 3 S 2.08-2.18
Fe (0.7277, 0.5000, 0.5997)  4 B 2.06-2.22, 1 S 2.14
Fe (0.2417, 0.5000, 0.6616)  4 B 1.93-2.02
Fe (0.6507, 0.0000, 0.7770)  1 B 2.03, 3 S 2.08-2.18
Fe (0.7277, 0.0000, 0.0997)  4 B 2.06-2.22, 1 S 2.14
Fe (0.0569, 0.0000, 0.9480)  2 B 2.10, 3 S 2.16-2.32
Fe (0.0569, 0.5000, 0.4480)  2 B 2.10, 3 S 2.16-2.32
Fe (0.2417, 0.0000, 0.1616)  4 B 1.93-2.02
S (0.9792, 0.0000, 0.2985)  5 Fe 2.18-2.32
S (0.9792, 0.5000, 0.7985)  5 Fe 2.18-2.32
S (0.4963, 0.5000, 0.4315)  3 Fe 2.08-2.16
S (0.4963, 0.0000, 0.9315)  3 Fe 2.08-2.16
B (0.4464, 0.0000, 0.6150)  5 Fe 1.93-2.06, 1 B 1.94
B (0.4464, 0.5000, 0.1150)  5 Fe 1.93-2.06, 1 B 1.94
B (0.0437, 0.5000, 0.0694)  1 B 1.94, 4 Fe 2.02-2.10
B (0.0437, 0.0000, 0.5694)  1 B 1.94, 4 Fe 2.02-2.10

calculated volume: 10.7 A^3/atom
formation energy from raw total energies: -0.1095 eV/atom
raw total energy: -112.67 eV for the cell shown
offset from the most stable computed form: 0.118 eV/atom

---

(12)
VASP calculation (GGA-PBE) on a relaxed structure of Fe2BS.

Unit cell a=3.1742 b=10.3285 c=5.2467 alpha=90.00 beta=109.86 gamma=90.00
Closest atoms and distances in Å follow each position.
Positions (direct):
Fe (0.6427, 0.3726, 0.7740)  3 B 2.04-2.20, 3 S 2.17-2.28
Fe (0.3573, 0.1274, 0.7260)  3 B 2.04-2.20, 3 S 2.17-2.28
Fe (0.3573, 0.8726, 0.7260)  3 B 2.04-2.20, 3 S 2.17-2.28
Fe (0.6427, 0.1274, 0.2740)  3 B 2.04-2.20, 3 S 2.17-2.28
Fe (0.3573, 0.3726, 0.2260)  3 B 2.04-2.20, 3 S 2.17-2.28
Fe (0.6427, 0.8726, 0.2740)  3 B 2.04-2.20, 3 S 2.17-2.28
Fe (0.3573, 0.6274, 0.2260)  3 B 2.04-2.20, 3 S 2.17-2.28
Fe (0.6427, 0.6274, 0.7740)  3 B 2.04-2.20, 3 S 2.17-2.28
S (0.0000, 0.3070, 0.5000)  6 Fe 2.17-2.28
S (0.0000, 0.6930, 0.5000)  6 Fe 2.17-2.28
S (0.0000, 0.8070, 0.0000)  6 Fe 2.17-2.28
S (0.0000, 0.1930, 0.0000)  6 Fe 2.17-2.28
B (0.7955, 0.0000, 0.5907)  2 B 1.79-1.85
B (0.7955, 0.5000, 0.0907)  2 B 1.79-1.85
B (0.2045, 0.0000, 0.4093)  2 B 1.79-1.85
B (0.2045, 0.5000, 0.9093)  2 B 1.79-1.85

calculated volume: 10.1 A^3/atom
formation energy from raw total energies: -0.1536 eV/atom
raw total energy: -113.38 eV for the cell shown
offset from the most stable computed form: 0.074 eV/atom

---

Which value of calculated volume does entry 12 give? 10.1 A^3/atom

---

Which of these has the highest calculated volume? Fe2BTeRu